Arrangement P

A geometry-optimized Y2HSe structure. Source: Alexandria via LeMat-Bulk, functional PBE-GGA.

The space group is Pmn2_1 (No. 31) and the conventional cell measures 3.955, 9.620 and 4.375 Å, with angles of 90.00, 90.00 and 90.00 degrees. The asymmetric unit holds Y at (0.000, 0.077, 0.000), Y at (0.000, 0.683, 0.997), H at (0.000, 0.880, 0.732) and Se at (0.000, 0.374, 0.000).

The spin magnetization is 0.00 μB/f.u.



Arrangement Q

A geometry-optimized Y2HSe structure. Source: Alexandria via LeMat-Bulk, functional PBE-GGA.

The space group is Fm-3m (No. 225) and the conventional cell measures 6.793, 6.793 and 6.793 Å, with angles of 90.00, 90.00 and 90.00 degrees. The asymmetric unit holds Y at (0.250, 0.250, 0.250), H at (0.000, 0.000, 0.000) and Se at (0.000, 0.000, 0.500).

The spin magnetization is 0.00 μB/f.u.



Relative stability in meV per atom, measured from the most stable structure: arrangement P 0; arrangement Q 495



Arrangement P

A geometry-optimized Y2HSe structure. Source: Alexandria via LeMat-Bulk, functional PBE-GGA.

The space group is R3m (No. 160, hexagonal axes) and the conventional cell measures 3.7650, 3.7650 and 22.0198 Å, with angles of 90.00, 90.00 and 120.00 degrees. The asymmetric unit holds Y at (0.0000, 0.0000, 0.0000), Y at (0.0000, 0.0000, 0.1624), H at (0.0000, 0.0000, 0.3491) and Se at (0.0000, 0.0000, 0.5807).

The spin magnetization is 0.75 μB/f.u.



Arrangement Q

A geometry-optimized Y2HSe structure. Source: Alexandria via LeMat-Bulk, functional PBE-GGA.

The space group is I-42d (No. 122) and the conventional cell measures 6.778, 6.778 and 6.973 Å, with angles of 90.00, 90.00 and 90.00 degrees. The asymmetric unit holds Y at (0.175, 0.250, 0.125), H at (0.000, 0.000, 0.000) and Se at (0.000, 0.000, 0.500).

The spin magnetization is 0.00 μB/f.u.



Relative stability in meV per atom, measured from the most stable structure: arrangement P 81; arrangement Q 0



Arrangement P

A geometry-optimized YZrHSe2 structure. Source: Alexandria via LeMat-Bulk, functional PBE-GGA.

The space group is P4/mmm (No. 123) and the conventional cell measures 5.415, 5.415 and 3.814 Å, with angles of 90.00, 90.00 and 90.00 degrees. The asymmetric unit holds Y at (0.000, 0.000, 0.000), Zr at (0.500, 0.500, 0.500), H at (0.000, 0.000, 0.500) and Se at (0.000, 0.500, 0.000).

The spin magnetization is 1.22 μB/f.u.



Arrangement Q

A geometry-optimized YZrHSe2 structure. Source: Alexandria via LeMat-Bulk, functional PBE-GGA.

The space group is P4/mmm (No. 123) and the conventional cell measures 5.278, 5.278 and 5.825 Å, with angles of 90.00, 90.00 and 90.00 degrees. The asymmetric unit holds Y at (0.000, 0.000, 0.000), Zr at (0.000, 0.000, 0.500), H at (0.500, 0.500, 0.500) and Se at (0.000, 0.500, 0.000).

The spin magnetization is 0.00 μB/f.u.



Relative stability in meV per atom, measured from the most stable structure: arrangement P 0; arrangement Q 1370



Arrangement P

A geometry-optimized ZnH2Se structure. Source: Alexandria via LeMat-Bulk, functional PBE-GGA.

The space group is I4_1/amd (No. 141, origin choice 2) and the conventional cell measures 5.761, 5.761 and 8.199 Å, with angles of 90.00, 90.00 and 90.00 degrees. The asymmetric unit holds Zn at (0.000, 0.250, 0.375), H at (0.000, 0.000, 0.000) and Se at (0.000, 0.250, 0.875).

The spin magnetization is 0.00 μB/f.u.



Arrangement Q

A geometry-optimized ZnH2Se structure. Source: Alexandria via LeMat-Bulk, functional PBE-GGA.

The space group is P1 (No. 1) and the conventional cell measures 2.963, 4.724 and 6.914 Å, with angles of 80.12, 86.07 and 75.97 degrees. The asymmetric unit holds Zn at (0.000, 0.000, 0.000), H at (0.679, 0.026, 0.472), H at (0.790, 0.877, 0.527) and Se at (0.288, 0.458, 0.997).

The spin magnetization is 0.00 μB/f.u.



Arrangement R

A geometry-optimized ZnH2Se structure. Source: Alexandria via LeMat-Bulk, functional PBE-GGA.

The space group is Fm-3m (No. 225) and the conventional cell measures 5.542, 5.542 and 5.542 Å, with angles of 90.00, 90.00 and 90.00 degrees. The asymmetric unit holds Zn at (0.000, 0.000, 0.000), H at (0.250, 0.250, 0.250) and Se at (0.000, 0.000, 0.500).

The spin magnetization is 0.00 μB/f.u.



Relative stability in meV per atom, measured from the most stable structure: arrangement P 299; arrangement Q 0; arrangement R 691